{"formula": "Pr5AgOs2", "functional": "PBE", "state": "relaxed", "space_group": "No. 140", "formation_enthalpy_0k_ev_per_atom": -0.12, "n_ef_per_ev_fu": 7.57, "cell": [[-4.029, 4.029, 6.902], [4.029, -4.029, 6.902], [4.029, 4.029, -6.902]], "species": ["Pr", "Pr", "Pr", "Pr", "Pr", "Pr", "Pr", "Pr", "Pr", "Pr", "Ag", "Ag", "Os", "Os", "Os", "Os"], "frac_coords": [[0.000, 0.000, 0.000], [0.027, 0.527, 0.819], [0.208, 0.027, 0.500], [0.292, 0.792, 0.819], [0.473, 0.292, 0.500], [0.500, 0.500, 0.000], [0.527, 0.708, 0.500], [0.708, 0.208, 0.181], [0.792, 0.973, 0.500], [0.973, 0.473, 0.181], [0.250, 0.250, 0.000], [0.750, 0.750, 0.000], [0.139, 0.361, 0.500], [0.361, 0.861, 0.222], [0.639, 0.139, 0.778], [0.861, 0.639, 0.500]]}